Entry 1:
VASP calculation (PBE) on crystalline PPtSe at its relaxed geometry.

The space group is F-43m (No. 216) and the conventional cell measures 6.103, 6.103 and 6.103 Å, with angles of 90.00, 90.00 and 90.00 degrees. The distinct sites, in fractional coordinates, are P at (0.000, 0.000, 0.000), Pt at (0.250, 0.250, 0.750) and Se at (0.000, 0.000, 0.500).

The value obtained for the formation energy from raw total energies is -3 kJ/mol of formula units. The calculation puts the theoretical density at 8913 kg/m3. The total energy is -4.990 eV per atom.


Entry 2:
VASP calculation (PBE) on crystalline YGaTc at its relaxed geometry.

The space group is Cmcm (No. 63) and the conventional cell measures 4.928, 8.130 and 5.661 Å, with angles of 90.00, 90.00 and 90.00 degrees. The distinct sites, in fractional coordinates, are Y at (0.000, 0.159, 0.250), Ga at (0.000, 0.185, 0.750) and Tc at (0.000, 0.500, 0.000).

The calculation puts the formation energy at -0.46 eV per formula unit. The calculation puts the theoretical density at 7516 kg/m3. The calculation puts the offset from the most stable computed form at 0.294 eV per atom. The total energy is -6.771 eV per atom.


Entry 3:
VASP calculation (PBE) on crystalline Ca2NdHoSe4 at its relaxed geometry.

The space group is P2/m (No. 10) and the conventional cell measures 7.183, 4.140 and 7.302 Å, with angles of 90.00, 109.07 and 90.00 degrees. The distinct sites, in fractional coordinates, are Ca at (0.000, 0.000, 0.000), Ca at (0.500, 0.500, 0.000), Nd at (0.000, 0.500, 0.500), Ho at (0.500, 0.000, 0.500), Se at (0.258, 0.500, 0.253) and Se at (0.259, 0.000, 0.753).

The value obtained for the formation energy from raw total energies is -1450 kJ/mol of formula units. The calculation puts the theoretical density at 5705 kg/m3. The total energy is -5.290 eV per atom.


Entry 4:
VASP calculation (PBE) on crystalline Y8Ge3Te3Se at its relaxed geometry.

The space group is R-3m (No. 166, hexagonal axes) and the conventional cell measures 8.4142, 8.4142 and 20.8954 Å, with angles of 90.00, 90.00 and 120.00 degrees. The distinct sites, in fractional coordinates, are Y at (0.0000, 0.0000, 0.2403), Y at (0.0125, 0.5062, 0.7576), Ge at (0.0000, 0.5000, 0.5000), Te at (0.0000, 0.5000, 0.0000) and Se at (0.0000, 0.0000, 0.5000).

The value obtained for the formation energy from raw total energies is -1714 kJ/mol of formula units. The calculation puts the theoretical density at 5408 kg/m3. The total energy is -6.416 eV per atom.


Entry 5:
VASP calculation (PBE) on crystalline Pr6Os2Br3Cl at its relaxed geometry.

The space group is C2/m (No. 12) and the conventional cell measures 7.340, 12.710 and 8.175 Å, with angles of 90.00, 107.26 and 90.00 degrees. The distinct sites, in fractional coordinates, are Pr at (0.205, 0.000, 0.200), Pr at (0.248, 0.319, 0.201), Os at (0.000, 0.167, 0.000), Br at (0.000, 0.000, 0.500), Br at (0.000, 0.336, 0.500) and Cl at (0.000, 0.500, 0.000).

The value obtained for the formation energy from raw total energies is -1115 kJ/mol of formula units. The calculation puts the theoretical density at 6845 kg/m3. The total energy is -5.797 eV per atom.


Entry 6:
VASP calculation (PBE) on crystalline CsNaLiAs at its relaxed geometry.

The space group is R3m (No. 160, hexagonal axes) and the conventional cell measures 4.7981, 4.7981 and 20.1694 Å, with angles of 90.00, 90.00 and 120.00 degrees. The distinct sites, in fractional coordinates, are Cs at (0.0000, 0.0000, 0.0000), Na at (0.0000, 0.0000, 0.1776), Li at (0.0000, 0.0000, 0.4642) and As at (0.0000, 0.0000, 0.7966).

The calculation puts the formation energy at -1.74 eV per formula unit. The calculation puts the theoretical density at 2945 kg/m3. The total energy is -2.619 eV per atom.


Entry 7:
VASP calculation (PBE) on crystalline Nd4Er3PuS8 at its relaxed geometry.

The space group is R-3m (No. 166, hexagonal axes) and the conventional cell measures 7.9200, 7.9200 and 19.6765 Å, with angles of 90.00, 90.00 and 120.00 degrees. The distinct sites, in fractional coordinates, are Nd at (0.0000, 0.0000, 0.0000), Nd at (0.0000, 0.5000, 0.0000), Er at (0.0000, 0.5000, 0.5000), Pu at (0.0000, 0.0000, 0.5000), S at (0.0000, 0.0000, 0.2436) and S at (0.0036, 0.5018, 0.7554).

The value obtained for the formation energy from raw total energies is -3057 kJ/mol of formula units. The calculation puts the theoretical density at 7360 kg/m3. The total energy is -6.987 eV per atom.


Entry 8:
VASP calculation (PBE) on crystalline Y3TlO at its relaxed geometry.

The space group is C2/c (No. 15) and the conventional cell measures 11.600, 13.374 and 6.184 Å, with angles of 90.00, 94.93 and 90.00 degrees. The distinct sites, in fractional coordinates, are Y at (0.110, 0.163, 0.077), Y at (0.114, 0.431, 0.098), Y at (0.116, 0.303, 0.597), Tl at (0.169, 0.072, 0.557), O at (0.000, 0.300, 0.250) and O at (0.000, 0.437, 0.750).

The value obtained for the formation energy from raw total energies is -587 kJ/mol of formula units. The calculation puts the theoretical density at 6770 kg/m3. The total energy is -6.561 eV per atom.